4
Lattice="-0.057 0.928 5.020 4.048 -1.211 2.866 2.944 3.688 1.948" Properties=species:S:1:pos:R:3 comment="ErTlInAu (PBE, optimized geometry)" magnetic_moment_mub_per_cell=0.00 space_group="F-43m, No. 216" formation_energy_mev_per_atom=-375 pbc="T T T"
Er 5.201 2.554 7.375
In 1.734 0.851 2.458
Au 0.000 0.000 0.000
Tl 3.467 1.702 4.916